VASP calculation (PBE) on a geometry-optimized Cr2TePt structure.

Calculated values
D(E_F)	21.26	states/eV per cell
raw formation energy	0.3725	eV per atom
calculated density	9.417	g/cm3
total magnetization	1.72	μB per atom

```
data_Cr2TePt
_chemical_formula_sum 'Cr8 Te4 Pt4'
_symmetry_space_group_name_H-M 'I -4 2 d'
_symmetry_Int_Tables_number 122
_symmetry_space_group_name_Hall 'I -4 2bw'
_cell_length_a 7.241
_cell_length_b 7.241
_cell_length_c 5.739
_cell_angle_alpha 90.00
_cell_angle_beta 90.00
_cell_angle_gamma 90.00
loop_
_atom_site_label
_atom_site_type_symbol
_atom_site_fract_x
_atom_site_fract_y
_atom_site_fract_z
Cr1 Cr 0.239 0.750 0.125
Te1 Te 0.000 0.000 0.500
Pt1 Pt 0.000 0.000 0.000
```